[1]
Entry from the Alexandria database: crystalline LiNiI2 at its relaxed geometry (PBEsol).

Unit cell a=5.065 b=5.065 c=5.065 alpha=60.00 beta=60.00 gamma=60.00
Fractional coordinates of all 4 atoms:
Li (0.000, 0.000, 0.000)
Ni (0.500, 0.500, 0.500)
I (0.250, 0.250, 0.250)
I (0.750, 0.750, 0.750)

calculated volume: 92 Å³/cell
space-group type: Fm-3m (225)
N(E_F): 6.16 states/eV/f.u.
E above lowest polymorph: 2.03 eV/f.u.
E_form (uncorrected): 6 kJ per mole of atoms
calculated total energy: -11.411 eV/cell

---

[2]
Entry from the Alexandria database: crystalline CsHgNO2 at its relaxed geometry (PBEsol).

Unit cell a=4.376 b=4.376 c=4.423 alpha=90.00 beta=90.00 gamma=90.00
Fractional coordinates of all 5 atoms:
Cs (0.000, 0.000, 0.000)
Hg (0.500, 0.500, 0.500)
N (0.500, 0.500, 0.000)
O (0.000, 0.500, 0.500)
O (0.500, 0.000, 0.500)

calculated volume: 85 Å³/cell
space-group type: P4/mmm (123)
N(E_F): 4.69 states/eV/f.u.
E_form (uncorrected): 56 kJ per mole of atoms
calculated total energy: -17.643 eV/cell

---

[3]
Entry from the Alexandria database: crystalline TaP2Os at its relaxed geometry (PBEsol).

Unit cell a=7.562 b=7.562 c=7.562 alpha=22.95 beta=22.95 gamma=22.95
Fractional coordinates of all 4 atoms:
Ta (0.000, 0.000, 0.000)
P (0.492, 0.492, 0.492)
P (0.749, 0.749, 0.749)
Os (0.234, 0.234, 0.234)

calculated volume: 58 Å³/cell
space-group type: R3m (160)
DFT formation energy: -0.171 eV per atom
N(E_F): 1.90 states/eV/f.u.
E above lowest polymorph: 0.42 eV/f.u.
calculated total energy: -37.035 eV/cell

---

[4]
Entry from the Alexandria database: crystalline TeIrBr2 at its relaxed geometry (PBEsol).

Unit cell a=10.231 b=10.231 c=10.231 alpha=20.07 beta=20.07 gamma=20.07
Fractional coordinates of all 4 atoms:
Te (0.000, 0.000, 0.000)
Ir (0.500, 0.500, 0.500)
Br (0.119, 0.119, 0.119)
Br (0.881, 0.881, 0.881)

calculated volume: 110 Å³/cell
space-group type: R-3m (166)
N(E_F): 3.64 states/eV/f.u.
E_form (uncorrected): 41 kJ per mole of atoms
calculated total energy: -15.410 eV/cell

---

[5]
Entry from the Alexandria database: crystalline Pr2O3 at its relaxed geometry (PBEsol).

Unit cell a=9.664 b=9.664 c=9.664 alpha=109.47 beta=109.47 gamma=109.47
Fractional coordinates of all 40 atoms:
Pr (0.000, 0.000, 0.500)
Pr (0.000, 0.500, 0.000)
Pr (0.031, 0.750, 0.781)
Pr (0.219, 0.969, 0.250)
Pr (0.250, 0.219, 0.969)
Pr (0.250, 0.719, 0.469)
Pr (0.281, 0.531, 0.750)
Pr (0.469, 0.250, 0.719)
Pr (0.500, 0.000, 0.000)
Pr (0.500, 0.500, 0.500)
Pr (0.531, 0.750, 0.281)
Pr (0.719, 0.469, 0.250)
Pr (0.750, 0.281, 0.531)
Pr (0.750, 0.781, 0.031)
Pr (0.781, 0.031, 0.750)
Pr (0.969, 0.250, 0.219)
O (0.012, 0.039, 0.271)
O (0.028, 0.488, 0.759)
O (0.039, 0.271, 0.012)
O (0.229, 0.269, 0.741)
O (0.231, 0.461, 0.472)
O (0.241, 0.972, 0.512)
O (0.259, 0.771, 0.731)
O (0.269, 0.741, 0.229)
O (0.271, 0.012, 0.039)
O (0.461, 0.472, 0.231)
O (0.472, 0.231, 0.461)
O (0.488, 0.759, 0.028)
O (0.512, 0.241, 0.972)
O (0.528, 0.769, 0.539)
O (0.539, 0.528, 0.769)
O (0.729, 0.988, 0.961)
O (0.731, 0.259, 0.771)
O (0.741, 0.229, 0.269)
O (0.759, 0.028, 0.488)
O (0.769, 0.539, 0.528)
O (0.771, 0.731, 0.259)
O (0.961, 0.729, 0.988)
O (0.972, 0.512, 0.241)
O (0.988, 0.961, 0.729)

calculated volume: 695 Å³/cell
space-group type: Ia-3 (206)
N(E_F): 0.00 states/eV/f.u.
E_form (uncorrected): -321 kJ per mole of atoms
calculated total energy: -341.940 eV/cell

---

[6]
Entry from the Alexandria database: crystalline Cs3YF6 at its relaxed geometry (PBEsol).

Unit cell a=7.056 b=7.056 c=7.056 alpha=120.27 beta=120.27 gamma=89.54
Fractional coordinates of all 10 atoms:
Cs (0.000, 0.000, 0.000)
Cs (0.250, 0.750, 0.500)
Cs (0.750, 0.250, 0.500)
Y (0.500, 0.500, 0.000)
F (0.195, 0.500, 0.695)
F (0.280, 0.280, 0.000)
F (0.500, 0.195, 0.695)
F (0.500, 0.805, 0.305)
F (0.720, 0.720, 0.000)
F (0.805, 0.500, 0.305)

calculated volume: 247 Å³/cell
space-group type: I4/mmm (139)
N(E_F): 0.00 states/eV/f.u.
E_form (uncorrected): -316 kJ per mole of atoms
calculated total energy: -53.916 eV/cell

---

[7]
Entry from the Alexandria database: crystalline InAgAu at its relaxed geometry (PBEsol).

Unit cell a=4.681 b=4.681 c=2.917 alpha=90.00 beta=90.00 gamma=120.00
Fractional coordinates of all 3 atoms:
In (0.000, 0.000, 0.000)
Ag (0.333, 0.667, 0.407)
Au (0.667, 0.333, 0.836)

calculated volume: 55 Å³/cell
space-group type: P3m1 (156)
DFT formation energy: -0.069 eV per atom
N(E_F): 0.82 states/eV/f.u.
E above lowest polymorph: 0.15 eV/f.u.
calculated total energy: -10.426 eV/cell

---

[8]
Entry from the Alexandria database: crystalline ZrMn2Br at its relaxed geometry (PBEsol).

Unit cell a=6.815 b=6.815 c=6.815 alpha=30.15 beta=30.15 gamma=30.15
Fractional coordinates of all 4 atoms:
Zr (0.000, 0.000, 0.000)
Mn (0.444, 0.444, 0.444)
Mn (0.743, 0.743, 0.743)
Br (0.229, 0.229, 0.229)

calculated volume: 71 Å³/cell
space-group type: R3m (160)
N(E_F): 1.89 states/eV/f.u.
E above lowest polymorph: 0.00 eV/f.u.
E_form (uncorrected): 4 kJ per mole of atoms
calculated total energy: -30.297 eV/cell

---

[9]
Entry from the Alexandria database: crystalline KCd2Cu at its relaxed geometry (PBEsol).

Unit cell a=6.456 b=6.456 c=6.456 alpha=154.09 beta=130.08 gamma=57.08
Fractional coordinates of all 4 atoms:
K (0.000, 0.000, 0.000)
Cd (0.300, 0.800, 0.500)
Cd (0.700, 0.200, 0.500)
Cu (0.500, 0.500, 0.000)

calculated volume: 89 Å³/cell
space-group type: Immm (71)
DFT formation energy: 0.162 eV per atom
N(E_F): 1.30 states/eV/f.u.
E above lowest polymorph: 0.30 eV/f.u.
calculated total energy: -7.213 eV/cell

---

[10]
Entry from the Alexandria database: crystalline MgTl at its relaxed geometry (PBEsol).

Unit cell a=3.421 b=5.554 c=5.129 alpha=90.00 beta=90.00 gamma=90.00
Fractional coordinates of all 4 atoms:
Mg (0.250, 0.250, 0.096)
Mg (0.750, 0.750, 0.904)
Tl (0.250, 0.750, 0.403)
Tl (0.750, 0.250, 0.597)

calculated volume: 97 Å³/cell
space-group type: Pmmn (59)
DFT formation energy: -0.051 eV per atom
N(E_F): 0.73 states/eV/f.u.
calculated total energy: -8.897 eV/cell

---

[11]
Entry from the Alexandria database: crystalline LiCoS2 at its relaxed geometry (PBEsol).

Unit cell a=6.766 b=6.766 c=6.766 alpha=60.00 beta=60.00 gamma=60.00
Fractional coordinates of all 16 atoms:
Li (0.000, 0.000, 0.000)
Li (0.000, 0.000, 0.500)
Li (0.000, 0.500, 0.000)
Li (0.500, 0.000, 0.000)
Co (0.000, 0.500, 0.500)
Co (0.500, 0.000, 0.500)
Co (0.500, 0.500, 0.000)
Co (0.500, 0.500, 0.500)
S (0.265, 0.265, 0.265)
S (0.265, 0.265, 0.704)
S (0.265, 0.704, 0.265)
S (0.296, 0.735, 0.735)
S (0.704, 0.265, 0.265)
S (0.735, 0.296, 0.735)
S (0.735, 0.735, 0.296)
S (0.735, 0.735, 0.735)

calculated volume: 219 Å³/cell
space-group type: Fd-3m (227)
E above lowest polymorph: 0.22 eV/f.u.
E_form (uncorrected): -75 kJ per mole of atoms
calculated total energy: -86.283 eV/cell

---

[12]
Entry from the Alexandria database: crystalline CaMg2Tc at its relaxed geometry (PBEsol).

Unit cell a=2.870 b=4.738 c=6.115 alpha=90.00 beta=102.55 gamma=90.00
Fractional coordinates of all 4 atoms:
Ca (0.000, 0.000, 0.000)
Mg (0.382, 0.000, 0.538)
Mg (0.707, 0.500, 0.326)
Tc (0.334, 0.500, 0.767)

calculated volume: 81 Å³/cell
space-group type: Pm (6)
DFT formation energy: 0.417 eV per atom
N(E_F): 2.60 states/eV/f.u.
E above lowest polymorph: 0.29 eV/f.u.
calculated total energy: -15.164 eV/cell

---

[13]
Entry from the Alexandria database: crystalline TaP2Au at its relaxed geometry (PBEsol).

Unit cell a=4.275 b=4.275 c=3.258 alpha=90.00 beta=90.00 gamma=90.00
Fractional coordinates of all 4 atoms:
Ta (0.000, 0.000, 0.000)
P (0.000, 0.500, 0.500)
P (0.500, 0.000, 0.500)
Au (0.500, 0.500, 0.000)

calculated volume: 60 Å³/cell
space-group type: P4/mmm (123)
DFT formation energy: -0.097 eV per atom
N(E_F): 2.33 states/eV/f.u.
E above lowest polymorph: 0.00 eV/f.u.
calculated total energy: -28.445 eV/cell

---

[14]
Entry from the Alexandria database: crystalline AlAs2PtSe at its relaxed geometry (PBEsol).

Unit cell a=4.673 b=4.673 c=4.657 alpha=90.00 beta=90.00 gamma=90.00
Fractional coordinates of all 5 atoms:
Al (0.000, 0.000, 0.000)
As (0.000, 0.500, 0.000)
As (0.500, 0.000, 0.000)
Pt (0.500, 0.500, 0.500)
Se (0.000, 0.000, 0.500)

calculated volume: 102 Å³/cell
space-group type: P4/mmm (123)
N(E_F): 3.21 states/eV/f.u.
E_form (uncorrected): 75 kJ per mole of atoms
calculated total energy: -21.217 eV/cell

---

[15]
Entry from the Alexandria database: crystalline K3AlH6 at its relaxed geometry (PBEsol).

Unit cell a=5.936 b=5.850 c=10.159 alpha=90.00 beta=124.77 gamma=90.00
Fractional coordinates of all 20 atoms:
K (0.000, 0.000, 0.000)
K (0.000, 0.500, 0.500)
K (0.259, 0.022, 0.754)
K (0.259, 0.478, 0.254)
K (0.741, 0.522, 0.746)
K (0.741, 0.978, 0.246)
Al (0.500, 0.000, 0.500)
Al (0.500, 0.500, 0.000)
H (0.229, 0.009, 0.294)
H (0.229, 0.491, 0.794)
H (0.307, 0.684, 0.037)
H (0.307, 0.816, 0.537)
H (0.358, 0.239, 0.535)
H (0.358, 0.261, 0.035)
H (0.642, 0.739, 0.965)
H (0.642, 0.761, 0.465)
H (0.693, 0.184, 0.463)
H (0.693, 0.316, 0.963)
H (0.771, 0.509, 0.206)
H (0.771, 0.991, 0.706)

calculated volume: 290 Å³/cell
space-group type: P2_1/c (14)
N(E_F): 0.00 states/eV/f.u.
calculated total energy: -58.818 eV/cell

---

[16]
Entry from the Alexandria database: crystalline TaNi2Rh at its relaxed geometry (PBEsol).

Unit cell a=4.571 b=4.571 c=4.571 alpha=132.32 beta=132.32 gamma=69.73
Fractional coordinates of all 4 atoms:
Ta (0.000, 0.000, 0.000)
Ni (0.250, 0.750, 0.500)
Ni (0.500, 0.500, 0.000)
Rh (0.750, 0.250, 0.500)

calculated volume: 51 Å³/cell
space-group type: I-4m2 (119)
DFT formation energy: -0.416 eV per atom
N(E_F): 3.31 states/eV/f.u.
calculated total energy: -34.670 eV/cell

---

[17]
Entry from the Alexandria database: crystalline AlFe3 at its relaxed geometry (PBEsol).

Unit cell a=2.929 b=2.929 c=5.360 alpha=90.00 beta=90.00 gamma=90.00
Fractional coordinates of all 4 atoms:
Al (0.000, 0.000, 0.000)
Fe (0.000, 0.000, 0.500)
Fe (0.500, 0.500, 0.264)
Fe (0.500, 0.500, 0.736)

calculated volume: 46 Å³/cell
space-group type: P4/mmm (123)
DFT formation energy: -0.128 eV per atom
N(E_F): 4.52 states/eV/f.u.
calculated total energy: -31.492 eV/cell

---

[18]
Entry from the Alexandria database: crystalline BeFeAs2 at its relaxed geometry (PBEsol).

Unit cell a=3.075 b=3.075 c=5.555 alpha=90.00 beta=90.00 gamma=90.00
Fractional coordinates of all 4 atoms:
Be (0.000, 0.000, 0.000)
Fe (0.000, 0.000, 0.500)
As (0.500, 0.500, 0.258)
As (0.500, 0.500, 0.742)

calculated volume: 53 Å³/cell
space-group type: P4/mmm (123)
DFT formation energy: 0.252 eV per atom
N(E_F): 1.86 states/eV/f.u.
E above lowest polymorph: 0.66 eV/f.u.
calculated total energy: -22.167 eV/cell

---

[19]
Entry from the Alexandria database: crystalline Y3Hg at its relaxed geometry (PBEsol).

Unit cell a=3.576 b=4.523 c=6.637 alpha=90.00 beta=90.23 gamma=90.00
Fractional coordinates of all 4 atoms:
Y (0.000, 0.000, 0.000)
Y (0.498, 0.500, 0.736)
Y (0.502, 0.500, 0.264)
Hg (0.000, 0.000, 0.500)

calculated volume: 107 Å³/cell
space-group type: P2/m (10)
DFT formation energy: -0.207 eV per atom
N(E_F): 4.73 states/eV/f.u.
calculated total energy: -21.861 eV/cell

---

[20]
Entry from the Alexandria database: crystalline AsIr3 at its relaxed geometry (PBEsol).

Unit cell a=3.857 b=3.857 c=3.857 alpha=90.00 beta=90.00 gamma=90.00
Fractional coordinates of all 4 atoms:
As (0.000, 0.000, 0.000)
Ir (0.000, 0.500, 0.500)
Ir (0.500, 0.000, 0.500)
Ir (0.500, 0.500, 0.000)

calculated volume: 57 Å³/cell
space-group type: Pm-3m (221)
DFT formation energy: 0.194 eV per atom
N(E_F): 1.94 states/eV/f.u.
E above lowest polymorph: 0.15 eV/f.u.
calculated total energy: -33.802 eV/cell

---

[21]
Entry from the Alexandria database: crystalline Hg3AsO4 at its relaxed geometry (PBEsol).

Unit cell a=8.893 b=5.159 c=14.316 alpha=90.00 beta=122.43 gamma=90.00
Fractional coordinates of all 32 atoms:
Hg (0.037, 0.150, 0.081)
Hg (0.037, 0.350, 0.581)
Hg (0.275, 0.155, 0.462)
Hg (0.275, 0.345, 0.962)
Hg (0.450, 0.660, 0.124)
Hg (0.450, 0.840, 0.624)
Hg (0.550, 0.160, 0.376)
Hg (0.550, 0.340, 0.876)
Hg (0.725, 0.655, 0.038)
Hg (0.725, 0.845, 0.538)
Hg (0.963, 0.650, 0.419)
Hg (0.963, 0.850, 0.919)
As (0.231, 0.635, 0.274)
As (0.231, 0.865, 0.774)
As (0.769, 0.135, 0.226)
As (0.769, 0.365, 0.726)
O (0.047, 0.528, 0.152)
O (0.047, 0.972, 0.652)
O (0.222, 0.541, 0.387)
O (0.222, 0.959, 0.887)
O (0.235, 0.533, 0.771)
O (0.235, 0.967, 0.271)
O (0.421, 0.516, 0.283)
O (0.421, 0.984, 0.783)
O (0.579, 0.016, 0.217)
O (0.579, 0.484, 0.717)
O (0.765, 0.033, 0.729)
O (0.765, 0.467, 0.229)
O (0.778, 0.041, 0.113)
O (0.778, 0.459, 0.613)
O (0.953, 0.028, 0.348)
O (0.953, 0.472, 0.848)

calculated volume: 554 Å³/cell
space-group type: P2_1/c (14)
E_form (uncorrected): -66 kJ per mole of atoms
calculated total energy: -133.232 eV/cell

---

[22]
Entry from the Alexandria database: crystalline KAgAs2Br at its relaxed geometry (PBEsol).

Unit cell a=6.100 b=6.100 c=5.675 alpha=90.00 beta=90.00 gamma=90.00
Fractional coordinates of all 5 atoms:
K (0.000, 0.000, 0.000)
Ag (0.500, 0.500, 0.500)
As (0.000, 0.500, 0.000)
As (0.500, 0.000, 0.000)
Br (0.000, 0.000, 0.500)

calculated volume: 211 Å³/cell
space-group type: P4/mmm (123)
N(E_F): 2.24 states/eV/f.u.
E_form (uncorrected): 122 kJ per mole of atoms
calculated total energy: -10.190 eV/cell

---

[23]
Entry from the Alexandria database: crystalline K2ScPt at its relaxed geometry (PBEsol).

Unit cell a=10.469 b=10.469 c=10.469 alpha=160.65 beta=158.26 gamma=29.26
Fractional coordinates of all 4 atoms:
K (0.150, 0.150, 0.000)
K (0.850, 0.850, 0.000)
Sc (0.500, 0.000, 0.500)
Pt (0.000, 0.500, 0.500)

calculated volume: 141 Å³/cell
space-group type: Immm (71)
DFT formation energy: -0.191 eV per atom
N(E_F): 2.71 states/eV/f.u.
E above lowest polymorph: 0.00 eV/f.u.
calculated total energy: -16.599 eV/cell

---

[24]
Entry from the Alexandria database: crystalline CrAgSe2 at its relaxed geometry (PBEsol).

Unit cell a=7.211 b=7.211 c=7.211 alpha=29.54 beta=29.54 gamma=29.54
Fractional coordinates of all 4 atoms:
Cr (0.000, 0.000, 0.000)
Ag (0.850, 0.850, 0.850)
Se (0.266, 0.266, 0.266)
Se (0.729, 0.729, 0.729)

calculated volume: 81 Å³/cell
space-group type: R3m (160)
N(E_F): 0.03 states/eV/f.u.
E_form (uncorrected): -29 kJ per mole of atoms
calculated total energy: -22.437 eV/cell